{"formula": "MgSc2Ru", "functional": "PBE", "state": "optimized geometry", "cell": [[-7.9663, 2.6828, 5.8317], [-7.2554, -0.1057, 7.2122], [-5.7171, 2.5487, 8.0924]], "species": ["Sc", "Sc", "Ru", "Mg"], "fractional_positions": [[0.8961, 0.8961, 0.8961], [0.1039, 0.1039, 0.1039], [0.5000, 0.5000, 0.5000], [0.0000, 0.0000, 0.0000]], "energy_ev_per_cell": -23.6, "delta_e_f_ev_per_atom": -0.022, "rho_g_cm3": 4.027, "spacegroup": "R-3m (166)"}